Entry from OQMD via LeMat-Bulk: a relaxed Gd2HoCo2B2P3 crystal (PBE).

Results
- Mass density: 7.20 Mg/m³
- Total DFT energy (no corrections): -66.563 eV for the cell shown

Geometry as POSCAR:
```
Gd2HoCo2B2P3
1.0
-1.939 1.939 10.910
1.939 -1.939 10.910
1.939 1.939 -10.910
Gd Ho Co B P
2 1 2 2 3
Direct
0.138 0.138 0.000
0.862 0.862 0.000
0.500 0.500 0.000
0.250 0.750 0.500
0.750 0.250 0.500
0.285 0.285 0.000
0.715 0.715 0.000
0.000 0.000 0.000
0.375 0.375 0.000
0.625 0.625 0.000
```

---

Entry from OQMD via LeMat-Bulk: a relaxed La2GdCo2B2N3 crystal (PBE).

Results
- Mass density: 7.70 Mg/m³
- Total DFT energy (no corrections): -77.663 eV for the cell shown

Geometry as POSCAR:
```
La2GdCo2B2N3
1.0
-1.835 1.835 9.880
1.835 -1.835 9.880
1.835 1.835 -9.880
La Gd Co B N
2 1 2 2 3
Direct
0.129 0.129 0.000
0.871 0.871 0.000
0.500 0.500 0.000
0.250 0.750 0.500
0.750 0.250 0.500
0.303 0.303 0.000
0.697 0.697 0.000
0.000 0.000 0.000
0.378 0.378 0.000
0.622 0.622 0.000
```

---

Entry from OQMD via LeMat-Bulk: a relaxed NdGd2Co2B2N3 crystal (PBE).

Results
- Mass density: 8.40 Mg/m³
- Total DFT energy (no corrections): -77.784 eV for the cell shown

Geometry as POSCAR:
```
NdGd2Co2B2N3
1.0
-1.775 1.775 10.041
1.775 -1.775 10.041
1.775 1.775 -10.041
Nd Gd Co B N
1 2 2 2 3
Direct
0.000 0.000 0.000
0.373 0.373 0.000
0.627 0.627 0.000
0.250 0.750 0.500
0.750 0.250 0.500
0.197 0.197 0.000
0.803 0.803 0.000
0.122 0.122 0.000
0.500 0.500 0.000
0.878 0.878 0.000
```

---

What is the formula in the first record? Gd2HoCo2B2P3

---

What is the mass density in the third record? 8.40 Mg/m³